[1]
# Na2InRh2, optimized geometry, DFT GGA-PBE
# Energy   -3.938 eV/atom
# Energy of formation from the pure elements   78 meV/atom
# DOS at the Fermi energy   8.9 states/eV/cell
# V   214.04 Å³/cell
data_Na2InRh2
_chemical_formula_sum 'Na4 In2 Rh4'
_symmetry_space_group_name_H-M 'P 1'
_symmetry_Int_Tables_number 1
_cell_length_a 6.685
_cell_length_b 6.685
_cell_length_c 4.790
_cell_angle_alpha 90.00
_cell_angle_beta 90.00
_cell_angle_gamma 90.00
loop_
_symmetry_equiv_pos_as_xyz
'x,y,z'
loop_
_atom_site_label
_atom_site_fract_x
_atom_site_fract_y
_atom_site_fract_z
Na1 0.168 0.332 0.000
Na2 0.332 0.832 0.000
Na3 0.668 0.168 0.000
Na4 0.832 0.668 0.000
In1 0.000 0.000 0.500
In2 0.500 0.500 0.500
Rh1 0.130 0.630 0.500
Rh2 0.370 0.130 0.500
Rh3 0.630 0.870 0.500
Rh4 0.870 0.370 0.500

=====

[2]
# KCoP2, optimized geometry, DFT GGA-PBE
# Energy   -4.508 eV/atom
# Energy of formation from the pure elements   248 meV/atom
# E above lowest polymorph   56.7 kJ per mole of atoms
# DOS at the Fermi energy   1.3 states/eV/cell
# V   100.09 Å³/cell
data_KCoP2
_chemical_formula_sum 'K1 Co1 P2'
_symmetry_space_group_name_H-M 'P 1'
_symmetry_Int_Tables_number 1
_cell_length_a 5.466
_cell_length_b 5.466
_cell_length_c 5.466
_cell_angle_alpha 138.03
_cell_angle_beta 107.14
_cell_angle_gamma 87.81
loop_
_symmetry_equiv_pos_as_xyz
'x,y,z'
loop_
_atom_site_label
_atom_site_fract_x
_atom_site_fract_y
_atom_site_fract_z
K1 0.000 0.000 0.000
Co1 0.607 0.107 0.500
P1 0.343 0.843 0.500
P2 0.508 0.508 0.000

=====

[3]
# Mg8AgHg2, optimized geometry, DFT GGA-PBE
# Energy   -1.611 eV/atom
# Energy of formation from the pure elements   -137 meV/atom
# E above lowest polymorph   0.0 kJ per mole of atoms
# DOS at the Fermi energy   4.0 states/eV/cell
# V   235.02 Å³/cell
data_Mg8AgHg2
_chemical_formula_sum 'Mg8 Ag1 Hg2'
_symmetry_space_group_name_H-M 'P 1'
_symmetry_Int_Tables_number 1
_cell_length_a 8.057
_cell_length_b 8.057
_cell_length_c 8.057
_cell_angle_alpha 146.33
_cell_angle_beta 124.84
_cell_angle_gamma 66.20
loop_
_symmetry_equiv_pos_as_xyz
'x,y,z'
loop_
_atom_site_label
_atom_site_fract_x
_atom_site_fract_y
_atom_site_fract_z
Mg1 0.124 0.348 0.776
Mg2 0.155 0.155 0.000
Mg3 0.291 0.000 0.291
Mg4 0.428 0.652 0.776
Mg5 0.572 0.348 0.224
Mg6 0.709 0.000 0.709
Mg7 0.845 0.845 0.000
Mg8 0.876 0.652 0.224
Ag1 0.000 0.500 0.500
Hg1 0.311 0.811 0.500
Hg2 0.689 0.189 0.500

=====

[4]
# La2CrBr, optimized geometry, DFT GGA-PBE
# Energy   -5.004 eV/atom
# E above lowest polymorph   60.4 kJ per mole of atoms
# DOS at the Fermi energy   5.9 states/eV/cell
# Formation energy without anion corrections   0.28 eV/atom
# V   108.99 Å³/cell
data_La2CrBr
_chemical_formula_sum 'La2 Cr1 Br1'
_symmetry_space_group_name_H-M 'P 1'
_symmetry_Int_Tables_number 1
_cell_length_a 5.362
_cell_length_b 5.362
_cell_length_c 5.362
_cell_angle_alpha 60.00
_cell_angle_beta 60.00
_cell_angle_gamma 60.00
loop_
_symmetry_equiv_pos_as_xyz
'x,y,z'
loop_
_atom_site_label
_atom_site_fract_x
_atom_site_fract_y
_atom_site_fract_z
La1 0.000 0.000 0.000
La2 0.250 0.250 0.250
Cr1 0.750 0.750 0.750
Br1 0.500 0.500 0.500

=====

[5]
# MgAsCl2, optimized geometry, DFT GGA-PBE
# Energy   -3.205 eV/atom
# E above lowest polymorph   16.1 kJ per mole of atoms
# DOS at the Fermi energy   1.5 states/eV/cell
# Formation energy without anion corrections   -0.72 eV/atom
# V   126.49 Å³/cell
data_MgAsCl2
_chemical_formula_sum 'Mg1 As1 Cl2'
_symmetry_space_group_name_H-M 'P 1'
_symmetry_Int_Tables_number 1
_cell_length_a 4.292
_cell_length_b 4.822
_cell_length_c 6.475
_cell_angle_alpha 90.00
_cell_angle_beta 109.29
_cell_angle_gamma 90.00
loop_
_symmetry_equiv_pos_as_xyz
'x,y,z'
loop_
_atom_site_label
_atom_site_fract_x
_atom_site_fract_y
_atom_site_fract_z
Mg1 0.000 0.000 0.000
As1 0.905 0.500 0.810
Cl1 0.317 0.500 0.631
Cl2 0.593 0.000 0.187

=====

[6]
# NdGa2Ni2Rh, optimized geometry, DFT GGA-PBE
# Energy   -5.106 eV/atom
# Energy of formation from the pure elements   -150 meV/atom
# DOS at the Fermi energy   3.3 states/eV/cell
# V   115.44 Å³/cell
data_NdGa2Ni2Rh
_chemical_formula_sum 'Nd1 Ga2 Ni2 Rh1'
_symmetry_space_group_name_H-M 'P 1'
_symmetry_Int_Tables_number 1
_cell_length_a 4.658
_cell_length_b 4.658
_cell_length_c 5.320
_cell_angle_alpha 90.00
_cell_angle_beta 90.00
_cell_angle_gamma 90.00
loop_
_symmetry_equiv_pos_as_xyz
'x,y,z'
loop_
_atom_site_label
_atom_site_fract_x
_atom_site_fract_y
_atom_site_fract_z
Nd1 0.000 0.000 0.000
Ga1 0.000 0.500 0.500
Ga2 0.500 0.000 0.500
Ni1 0.500 0.500 0.252
Ni2 0.500 0.500 0.748
Rh1 0.000 0.000 0.500

=====

Number 4 is which compound?
La2CrBr

=====

Look up the DOS at the Fermi energy of the sixth one.
3.3 states/eV/cell

=====

Which value of DOS at the Fermi energy does entry 5 give?
1.5 states/eV/cell